DFT (PBE-GGA) results for an optimized crystal structure of Mg2SbOs.

Geometry as CIF:
```
data_Mg2SbOs
_symmetry_space_group_name_H-M 'P 4/m m m'
_symmetry_Int_Tables_number 123
_symmetry_space_group_name_Hall '-P 4 2'
_cell_length_a 4.172
_cell_length_b 4.172
_cell_length_c 4.117
_cell_angle_alpha 90.00
_cell_angle_beta 90.00
_cell_angle_gamma 90.00
loop_
_atom_site_label
_atom_site_type_symbol
_atom_site_fract_x
_atom_site_fract_y
_atom_site_fract_z
_atom_site_occupancy
Mg1 Mg 0.000 0.500 0.000 1
Sb1 Sb 0.000 0.000 0.500 1
Os1 Os 0.500 0.500 0.500 1
```

Results
Density of states at the Fermi level ... 1.31 states/eV per cell
Size of the total moment ... 0.000 Bohr magnetons per cell
Uncorrected formation energy ... 0.154 eV per atom